1.
Li5GaHg6 PBE optimized geometry; spin magnetization = 0.0000 μB/atom; SG = No. 12; calculated formation energy = -0.31 eV/atom; electronic total energy = -1.5112 eV per atom
1.0
8.262 0.449 0.000
2.520 4.028 0.000
1.260 2.014 7.111
Hg Li Ga
6 5 1
Cartesian
8.010 3.400 0.000
5.232 5.141 4.671
6.811 1.351 2.440
2.773 1.078 0.000
3.972 3.126 2.440
8.071 3.365 4.671
5.391 2.239 4.725
6.651 4.253 2.385
1.260 2.014 2.300
2.520 4.028 4.810
5.391 2.239 0.000
0.000 0.000 0.000


2.
Sm2TmOs PBE optimized geometry; spin magnetization = 0.0000 μB/atom; SG = No. 62; energy above the most stable polymorph in this dataset = 0 meV/atom; calculated formation energy = -0.20 eV/atom; electronic total energy = -6.4822 eV per atom
1.0
6.395 0.000 0.000
0.000 7.420 0.000
0.000 0.000 9.279
Sm Os Tm
8 4 4
Cartesian
2.101 1.305 4.052
5.298 2.405 5.227
4.294 6.115 5.227
4.294 6.115 8.692
2.101 1.305 0.588
1.096 5.015 4.052
1.096 5.015 0.588
5.298 2.405 8.692
2.993 6.555 2.320
6.191 4.574 6.959
3.401 0.865 6.959
0.204 2.845 2.320
0.877 7.106 6.959
2.320 3.397 6.959
4.075 4.023 2.320
5.518 0.313 2.320


3.
Pm6SiPt2Br3 PBE optimized geometry; E_form (uncorrected) = -1.140 eV per atom; spin magnetization = 0.0000 μB/atom; SG = No. 12; electronic total energy = -5.3918 eV per atom
1.0
-0.181 -4.914 5.443
-3.201 -1.524 -6.421
7.509 -0.826 -2.148
Pm Si Pt Br
6 1 2 3
Cartesian
1.243 -2.289 1.339
5.055 -2.405 -1.974
3.910 -6.126 -0.436
-0.928 -4.859 -1.152
2.884 -4.975 -4.465
0.218 -1.137 -2.690
0.000 0.000 0.000
-2.196 -2.651 -2.475
-1.185 -3.786 1.497
3.093 -4.787 2.480
1.035 -2.477 -5.606
2.064 -3.632 -1.563


4.
HgPF2 PBE optimized geometry; E_form (uncorrected) = -1.129 eV per atom; spin magnetization = 0.0000 μB/atom; SG = No. 166; energy above the most stable polymorph in this dataset = 0 meV/atom; electronic total energy = -3.4921 eV per atom
1.0
4.486 -7.309 2.608
5.617 -6.985 -0.047
6.724 -5.506 2.193
Hg F P
1 2 1
Cartesian
8.414 -9.901 2.377
1.093 -1.286 0.309
15.734 -18.515 4.446
0.000 0.000 0.000


5.
Sc2TiCu PBE optimized geometry; spin magnetization = 0.0000 μB/atom; SG = No. 123; calculated formation energy = -0.06 eV/atom; electronic total energy = -6.2281 eV per atom
1.0
3.125 0.000 0.000
0.000 3.125 0.000
0.000 0.000 7.768
Sc Ti Cu
2 1 1
Cartesian
0.000 0.000 5.993
0.000 0.000 1.775
1.562 1.562 3.884
1.562 1.562 0.000


6.
La5SnI5 PBE optimized geometry; E_form (uncorrected) = -1.105 eV per atom; spin magnetization = 0.0000 μB/atom; SG = No. 12; electronic total energy = -4.4129 eV per atom
1.0
3.216 7.140 0.113
-3.216 7.140 0.113
0.000 2.779 8.801
I La Sn
5 5 1
Cartesian
0.000 11.238 5.907
0.000 1.390 4.400
0.000 5.822 3.119
0.000 9.823 1.912
0.000 7.236 7.114
0.000 2.926 1.269
0.000 4.217 6.072
0.000 12.843 2.954
0.000 7.140 0.113
0.000 14.134 7.757
0.000 0.000 0.000


7.
LiSn4 PBE optimized geometry; spin magnetization = 0.0000 μB/atom; SG = No. 221; energy above the most stable polymorph in this dataset = 262 meV/atom; calculated formation energy = 0.20 eV/atom; electronic total energy = -3.3885 eV per atom
1.0
5.093 0.000 0.000
0.000 5.093 0.000
0.000 0.000 5.093
Sn Li
4 1
Cartesian
0.000 2.547 2.547
2.547 2.547 0.000
2.547 0.000 2.547
0.000 0.000 0.000
2.547 2.547 2.547


8.
Nb2AlAu2 PBE optimized geometry; spin magnetization = 0.0000 μB/atom; SG = No. 65; energy above the most stable polymorph in this dataset = 0 meV/atom; calculated formation energy = -0.23 eV/atom; electronic total energy = -6.3198 eV per atom
1.0
2.887 0.000 0.000
0.000 4.257 -1.591
0.000 0.196 7.025
Au Al Nb
2 1 2
Cartesian
0.000 3.561 3.045
0.000 0.892 2.390
0.000 0.000 0.000
1.444 1.847 4.952
1.444 2.606 0.482


9.
CaTmSc4S8 PBE optimized geometry; E_form (uncorrected) = -1.888 eV per atom; spin magnetization = 0.0000 μB/atom; SG = No. 160; electronic total energy = -6.5183 eV per atom
1.0
-7.193 1.734 2.209
-5.974 -1.788 -4.553
-4.879 -5.723 2.101
S Tm Sc Ca
8 1 4 1
Cartesian
-11.196 -1.548 -1.212
-13.523 -4.206 -0.247
-7.444 -2.452 -2.364
-6.740 -4.175 0.960
-10.663 -3.230 2.164
-4.533 -1.697 0.067
-8.080 -0.615 1.164
-9.998 -5.150 -1.524
-4.876 -5.699 2.089
-2.472 -2.874 1.051
-8.837 -0.729 -1.213
-6.016 -2.020 2.140
-5.416 -3.755 -1.192
-9.210 -5.074 0.982